## Ce5NdGe5 (PBE)

Data for a geometry-optimized Ce5NdGe5 structure.

Summary:
Energy of formation from the pure elements = -0.55 eV per atom

Cell and atoms, written as POSCAR:
```
Ce5NdGe5
1.0
6.6524 -2.9888 0.0000
6.6524 2.9888 0.0000
-2.6376 0.0000 8.0074
Ce Nd Ge
5 1 5
Cartesian
0.0000 0.0000 0.0000
2.6661 0.0000 5.3223
4.0454 0.0000 1.3307
6.6219 0.0000 6.6767
8.0011 0.0000 2.6851
-1.3188 0.0000 4.0037
0.0256 0.0000 6.7399
1.4060 0.0000 2.6128
5.3336 0.0000 4.0037
9.2613 0.0000 5.3946
10.6416 0.0000 1.2676
```